(1)
# BaBe2TcPd

A relaxed BaBe2TcPd crystal (PBEsol, the Alexandria database).

CIF file:
```
data_BaBe2TcPd
_chemical_formula_sum 'Ba1 Be2 Tc1 Pd1'
_symmetry_space_group_name_H-M 'P 4/m m m'
_symmetry_Int_Tables_number 123
_symmetry_space_group_name_Hall '-P 4 2'
_cell_length_a 4.374
_cell_length_b 4.374
_cell_length_c 5.672
_cell_angle_alpha 90.00
_cell_angle_beta 90.00
_cell_angle_gamma 90.00
loop_
_atom_site_label
_atom_site_fract_x
_atom_site_fract_y
_atom_site_fract_z
Ba1 0.000 0.000 0.000
Be1 0.000 0.500 0.500
Tc1 0.500 0.500 0.000
Pd1 0.000 0.000 0.500
```

* M_tot: 2.9 μB per formula unit
* energy relative to the elements: 1.21 eV per atom
* calculated volume: 21.71 Å³/atom


(2)
# BaBePt2

A relaxed BaBePt2 crystal (PBEsol, the Alexandria database).

CIF file:
```
data_BaBePt2
_chemical_formula_sum 'Ba1 Be1 Pt2'
_symmetry_space_group_name_H-M 'P 4/m m m'
_symmetry_Int_Tables_number 123
_symmetry_space_group_name_Hall '-P 4 2'
_cell_length_a 4.312
_cell_length_b 4.312
_cell_length_c 4.119
_cell_angle_alpha 90.00
_cell_angle_beta 90.00
_cell_angle_gamma 90.00
loop_
_atom_site_label
_atom_site_fract_x
_atom_site_fract_y
_atom_site_fract_z
Ba1 0.000 0.000 0.000
Be1 0.500 0.500 0.000
Pt1 0.000 0.500 0.500
```

* M_tot: 0.0 μB per formula unit
* energy relative to the elements: 0.25 eV per atom
* calculated volume: 19.15 Å³/atom


(3)
# Ba4BePt

A relaxed Ba4BePt crystal (PBEsol, the Alexandria database).

CIF file:
```
data_Ba4BePt
_chemical_formula_sum 'Ba16 Be4 Pt4'
_symmetry_space_group_name_H-M 'F -4 3 m'
_symmetry_Int_Tables_number 216
_symmetry_space_group_name_Hall 'F -4 2 3'
_cell_length_a 9.449
_cell_length_b 9.449
_cell_length_c 9.449
_cell_angle_alpha 90.00
_cell_angle_beta 90.00
_cell_angle_gamma 90.00
loop_
_atom_site_label
_atom_site_fract_x
_atom_site_fract_y
_atom_site_fract_z
Ba1 0.124 0.124 0.376
Be1 0.000 0.000 0.000
Pt1 0.250 0.250 0.750
```

* M_tot: 0.0 μB per formula unit
* energy relative to the elements: 0.94 eV per atom
* calculated volume: 35.15 Å³/atom